VASP calculation (PBE) on a relaxed structure of SrSnSb2Te.

Output
Total magnetic moment, Bohr magnetons per cell: 0.00
Crystal system: tetragonal
Raw total energy, eV/cell: -17.107

abc: 5.6723 5.6723 5.8282
angles: 90.00 90.00 90.00
Space group P4/mmm (No. 123)
One atom of each set of equivalent atoms:
Sr (0.0000, 0.0000, 0.0000) (multiplicity 1)
Sn (0.5000, 0.5000, 0.5000) (multiplicity 1)
Sb (0.0000, 0.5000, 0.5000) (multiplicity 2)
Te (0.5000, 0.5000, 0.0000) (multiplicity 1)


VASP calculation (PBE) on a relaxed structure of SrTlSnSb2.

Output
Total magnetic moment, Bohr magnetons per cell: 0.00
Crystal system: monoclinic
Raw total energy, eV/cell: -72.094

abc: 17.0656 5.0659 9.7960
angles: 90.00 124.47 90.00
Space group C2/m (No. 12)
One atom of each set of equivalent atoms:
Sr (0.2382, 0.0000, 0.2205) (multiplicity 4)
Tl (0.0731, 0.5000, 0.9188) (multiplicity 4)
Sn (0.0822, 0.0000, 0.4259) (multiplicity 4)
Sb (0.1276, 0.0000, 0.7778) (multiplicity 4)
Sb (0.1468, 0.5000, 0.3565) (multiplicity 4)


VASP calculation (PBE) on a relaxed structure of TaSnSb2.

Output
Total magnetic moment, Bohr magnetons per cell: 3.91
Crystal system: tetragonal
Raw total energy, eV/cell: -87.613

abc: 6.5649 6.5649 13.2862
angles: 90.00 90.00 90.00
Space group I-42d (No. 122)
One atom of each set of equivalent atoms:
Ta (0.0000, 0.0000, 0.0000) (multiplicity 4)
Sn (0.0000, 0.0000, 0.5000) (multiplicity 4)
Sb (0.2101, 0.2500, 0.1250) (multiplicity 8)


| no. | E_form (uncorrected) (eV per atom) |
| --- | --- |
| 1 | -0.007 |
| 2 | -0.346 |
| 3 | 0.549 |